First-principles (GGA-PBE) data for a geometry-optimized CrAgHPt2 structure, as listed in the Alexandria database.

Properties
Space group ... P4/mmm (123)
Calculated density ... 13.9 g/cm³
Polymorph energy (0 for the lowest one) ... 0.0 meV per atom
Volume ... 66.0 Å³ per cell

The structure in CIF format:
```
data_CrAgHPt2
_space_group_name_H-M_alt 'P 1'
_space_group_IT_number 1
_cell_length_a 4.0210
_cell_length_b 4.0210
_cell_length_c 4.0825
_cell_angle_alpha 90.00
_cell_angle_beta 90.00
_cell_angle_gamma 90.00
loop_
_space_group_symop_operation_xyz
'x,y,z'
loop_
_atom_site_label
_atom_site_fract_x
_atom_site_fract_y
_atom_site_fract_z
_atom_site_occupancy
Cr1 0.0000 0.0000 0.5000 1
Ag1 0.5000 0.5000 0.5000 1
Pt1 0.0000 0.5000 0.0000 1
Pt2 0.5000 0.0000 0.0000 1
H1 0.0000 0.0000 0.0000 1
```

First-principles (GGA-PBE) data for a geometry-optimized Hf6TlSb structure, as listed in the Alexandria database.

Properties
Raw formation energy ... -10.1 kJ/mol of atoms
Space group ... R-3 (148)
Calculated density ... 13.3 g/cm³
Volume ... 174.7 Å³ per cell

The structure in CIF format:
```
data_Hf6TlSb
_space_group_name_H-M_alt 'P 1'
_space_group_IT_number 1
_cell_length_a 7.9133
_cell_length_b 7.9143
_cell_length_c 5.5882
_cell_angle_alpha 44.97
_cell_angle_beta 44.94
_cell_angle_gamma 59.98
loop_
_space_group_symop_operation_xyz
'x,y,z'
loop_
_atom_site_label
_atom_site_fract_x
_atom_site_fract_y
_atom_site_fract_z
_atom_site_occupancy
Hf1 0.9986 0.4990 0.7518 1
Hf2 0.7501 0.9996 0.7521 1
Hf3 0.5003 0.2495 0.2493 1
Hf4 0.2499 0.0004 0.2479 1
Hf5 0.0014 0.5010 0.2482 1
Hf6 0.4997 0.7505 0.7507 1
Tl1 0.0000 0.0000 0.0000 1
Sb1 0.5000 0.5000 0.5000 1
```

First-principles (GGA-PBE) data for a geometry-optimized AcBeAs2O8 structure, as listed in the Alexandria database.

Properties
Raw formation energy ... -168.2 kJ/mol of atoms
Space group ... P-3 (147)
Calculated density ... 5.5 g/cm³
Volume ... 155.3 Å³ per cell

The structure in CIF format:
```
data_AcBeAs2O8
_space_group_name_H-M_alt 'P 1'
_space_group_IT_number 1
_cell_length_a 5.1045
_cell_length_b 5.1045
_cell_length_c 6.8841
_cell_angle_alpha 90.00
_cell_angle_beta 90.00
_cell_angle_gamma 120.00
loop_
_space_group_symop_operation_xyz
'x,y,z'
loop_
_atom_site_label
_atom_site_fract_x
_atom_site_fract_y
_atom_site_fract_z
_atom_site_occupancy
Ac1 0.0000 0.0000 0.0000 1
Be1 0.0000 0.0000 0.5000 1
As1 0.6667 0.3333 0.2842 1
As2 0.3333 0.6667 0.7158 1
O1 0.3333 0.6667 0.9696 1
O2 0.3055 0.2537 0.3358 1
O3 0.7463 0.0518 0.3358 1
O4 0.6667 0.3333 0.0304 1
O5 0.2537 0.9482 0.6642 1
O6 0.6945 0.7463 0.6642 1
O7 0.0518 0.3055 0.6642 1
O8 0.9482 0.6945 0.3358 1
```

First-principles (GGA-PBE) data for a geometry-optimized Pm6TlHg5 structure, as listed in the Alexandria database.

Properties
Space group ... C2/m (12)
Energy relative to the elements ... -0.317 eV/atom
Calculated density ... 9.4 g/cm³
Polymorph energy (0 for the lowest one) ... 141.3 meV per atom
Volume ... 365.9 Å³ per cell

The structure in CIF format:
```
data_Pm6TlHg5
_space_group_name_H-M_alt 'P 1'
_space_group_IT_number 1
_cell_length_a 9.3230
_cell_length_b 6.8480
_cell_length_c 6.8220
_cell_angle_alpha 59.87
_cell_angle_beta 83.14
_cell_angle_gamma 76.24
loop_
_space_group_symop_operation_xyz
'x,y,z'
loop_
_atom_site_label
_atom_site_fract_x
_atom_site_fract_y
_atom_site_fract_z
_atom_site_occupancy
Pm1 0.7307 0.0910 0.3447 1
Pm2 0.2693 0.5644 0.3447 1
Pm3 0.2237 0.2850 0.0000 1
Pm4 0.7763 0.7150 0.0000 1
Pm5 0.7307 0.4356 0.6553 1
Pm6 0.2693 0.9090 0.6553 1
Tl1 0.0000 0.0000 0.0000 1
Hg1 0.5000 0.1324 0.7352 1
Hg2 0.0000 0.3039 0.3923 1
Hg3 0.5000 0.5000 0.0000 1
Hg4 0.0000 0.6961 0.6077 1
Hg5 0.5000 0.8676 0.2648 1
```

First-principles (GGA-PBE) data for a geometry-optimized V2BiPt2 structure, as listed in the Alexandria database.

Properties
Space group ... I4/mmm (139)
Energy relative to the elements ... -0.074 eV/atom
Calculated density ... 12.5 g/cm³
Polymorph energy (0 for the lowest one) ... 26.0 meV per atom
Volume ... 93.5 Å³ per cell

The structure in CIF format:
```
data_V2BiPt2
_space_group_name_H-M_alt 'P 1'
_space_group_IT_number 1
_cell_length_a 3.9412
_cell_length_b 3.9412
_cell_length_c 6.6311
_cell_angle_alpha 72.71
_cell_angle_beta 72.71
_cell_angle_gamma 90.00
loop_
_space_group_symop_operation_xyz
'x,y,z'
loop_
_atom_site_label
_atom_site_fract_x
_atom_site_fract_y
_atom_site_fract_z
_atom_site_occupancy
Bi1 0.0000 0.0000 0.0000 1
Pt1 0.3850 0.3850 0.2300 1
Pt2 0.6150 0.6150 0.7700 1
V1 0.7500 0.2500 0.5000 1
V2 0.2500 0.7500 0.5000 1
```

First-principles (GGA-PBE) data for a geometry-optimized In2TeIr structure, as listed in the Alexandria database.

Properties
Raw formation energy ... 33.1 kJ/mol of atoms
Space group ... I-4m2 (119)
Calculated density ... 10.4 g/cm³
Volume ... 87.9 Å³ per cell

The structure in CIF format:
```
data_In2TeIr
_space_group_name_H-M_alt 'P 1'
_space_group_IT_number 1
_cell_length_a 4.9970
_cell_length_b 4.9970
_cell_length_c 4.9970
_cell_angle_alpha 120.26
_cell_angle_beta 120.26
_cell_angle_gamma 89.55
loop_
_space_group_symop_operation_xyz
'x,y,z'
loop_
_atom_site_label
_atom_site_fract_x
_atom_site_fract_y
_atom_site_fract_z
_atom_site_occupancy
In1 0.0000 0.0000 0.0000 1
In2 0.2500 0.7500 0.5000 1
Ir1 0.5000 0.5000 0.0000 1
Te1 0.7500 0.2500 0.5000 1
```

Among the records above, which one has the lowest volume? CrAgHPt2

Look up the calculated density of the sixth one. 10.4 g/cm³